[1]
# SbMoAsBr2

An optimized crystal structure of SbMoAsBr2 (GGA-PBEsol, the Alexandria database).

The calculation puts the magnetic moment at 4.31 μB per cell. The calculation puts the uncorrected formation energy at 1140 meV/atom.

Lattice parameters (Å, degrees): 5.3239 5.3239 5.4691 90.00 90.00 90.00
Space group P4/mmm (No. 123)
One atom of each set of equivalent atoms:
Sb: 0.0000 0.0000 0.0000
Mo: 0.5000 0.5000 0.5000
As: 0.0000 0.0000 0.5000
Br: 0.0000 0.5000 0.0000

***

[2]
# ScMoAs2Br

An optimized crystal structure of ScMoAs2Br (GGA-PBEsol, the Alexandria database).

The calculation puts the magnetic moment at 0.47 μB per cell. The calculation puts the uncorrected formation energy at 227 meV/atom.

Lattice parameters (Å, degrees): 4.7706 4.7706 5.1376 90.00 90.00 90.00
Space group P4/mmm (No. 123)
One atom of each set of equivalent atoms:
Sc: 0.0000 0.0000 0.0000
Mo: 0.5000 0.5000 0.5000
As: 0.0000 0.5000 0.5000
Br: 0.5000 0.5000 0.0000

***

[3]
# SiMoAsBr2

An optimized crystal structure of SiMoAsBr2 (GGA-PBEsol, the Alexandria database).

The calculation puts the magnetic moment at 3.85 μB per cell. The calculation puts the uncorrected formation energy at 985 meV/atom.

Lattice parameters (Å, degrees): 4.8624 4.8624 4.9874 90.00 90.00 90.00
Space group P4/mmm (No. 123)
One atom of each set of equivalent atoms:
Si: 0.0000 0.0000 0.0000
Mo: 0.5000 0.5000 0.5000
As: 0.0000 0.0000 0.5000
Br: 0.0000 0.5000 0.0000

***

[4]
# SrMoAs2Br

An optimized crystal structure of SrMoAs2Br (GGA-PBEsol, the Alexandria database).

The calculation puts the magnetic moment at 3.19 μB per cell. The calculation puts the uncorrected formation energy at 1293 meV/atom.

Lattice parameters (Å, degrees): 5.5348 5.5348 5.4715 90.00 90.00 90.00
Space group P4/mmm (No. 123)
One atom of each set of equivalent atoms:
Sr: 0.0000 0.0000 0.0000
Mo: 0.5000 0.5000 0.5000
As: 0.0000 0.5000 0.0000
Br: 0.0000 0.0000 0.5000

***

[5]
# YMoAsBr2

An optimized crystal structure of YMoAsBr2 (GGA-PBEsol, the Alexandria database).

The calculation puts the magnetic moment at 4.01 μB per cell. The calculation puts the uncorrected formation energy at 332 meV/atom.

Lattice parameters (Å, degrees): 5.2805 5.2805 5.6775 90.00 90.00 90.00
Space group P4/mmm (No. 123)
One atom of each set of equivalent atoms:
Y: 0.0000 0.0000 0.0000
Mo: 0.5000 0.5000 0.5000
As: 0.0000 0.0000 0.5000
Br: 0.0000 0.5000 0.0000

***

[6]
# NbAs2BrN

An optimized crystal structure of NbAs2BrN (GGA-PBEsol, the Alexandria database).

The calculation puts the magnetic moment at 0.79 μB per cell. The calculation puts the uncorrected formation energy at 794 meV/atom.

Lattice parameters (Å, degrees): 4.2592 4.2592 4.4026 90.00 90.00 90.00
Space group P4/mmm (No. 123)
One atom of each set of equivalent atoms:
Nb: 0.0000 0.0000 0.0000
As: 0.0000 0.5000 0.5000
Br: 0.5000 0.5000 0.0000
N: 0.5000 0.5000 0.5000

***

[7]
# NbAs2BrN

An optimized crystal structure of NbAs2BrN (GGA-PBEsol, the Alexandria database).

The calculation puts the magnetic moment at 2.78 μB per cell. The calculation puts the uncorrected formation energy at 1165 meV/atom.

Lattice parameters (Å, degrees): 4.9460 4.9460 5.2170 90.00 90.00 90.00
Space group P4/mmm (No. 123)
One atom of each set of equivalent atoms:
Nb: 0.0000 0.0000 0.0000
As: 0.0000 0.5000 0.0000
Br: 0.0000 0.0000 0.5000
N: 0.5000 0.5000 0.5000

***

[8]
# As2PBrN

An optimized crystal structure of As2PBrN (GGA-PBEsol, the Alexandria database).

The calculation puts the magnetic moment at 0.00 μB per cell. The calculation puts the uncorrected formation energy at 1060 meV/atom.

Lattice parameters (Å, degrees): 4.4444 4.4444 4.2148 90.00 90.00 90.00
Space group P4/mmm (No. 123)
One atom of each set of equivalent atoms:
As: 0.0000 0.5000 0.0000
P: 0.0000 0.0000 0.5000
Br: 0.5000 0.5000 0.5000
N: 0.5000 0.5000 0.0000

***

[9]
# RbAsBr2N

An optimized crystal structure of RbAsBr2N (GGA-PBEsol, the Alexandria database).

The calculation puts the magnetic moment at 0.00 μB per cell. The calculation puts the uncorrected formation energy at 107 meV/atom.

Lattice parameters (Å, degrees): 5.9322 5.9322 3.7348 90.00 90.00 90.00
Space group P4/mmm (No. 123)
One atom of each set of equivalent atoms:
Rb: 0.0000 0.0000 0.0000
As: 0.5000 0.5000 0.0000
Br: 0.0000 0.5000 0.5000
N: 0.5000 0.5000 0.5000

***

[10]
# AsRuBr2N

An optimized crystal structure of AsRuBr2N (GGA-PBEsol, the Alexandria database).

The calculation puts the magnetic moment at 2.12 μB per cell. The calculation puts the uncorrected formation energy at 1285 meV/atom.

Lattice parameters (Å, degrees): 5.1384 5.1384 4.5650 90.00 90.00 90.00
Space group P4/mmm (No. 123)
One atom of each set of equivalent atoms:
As: 0.0000 0.0000 0.0000
Ru: 0.0000 0.0000 0.5000
Br: 0.0000 0.5000 0.5000
N: 0.5000 0.5000 0.0000

***

[11]
# SbAs2BrN

An optimized crystal structure of SbAs2BrN (GGA-PBEsol, the Alexandria database).

The calculation puts the magnetic moment at 4.30 μB per cell. The calculation puts the uncorrected formation energy at 1709 meV/atom.

Lattice parameters (Å, degrees): 5.3112 5.3112 5.6648 90.00 90.00 90.00
Space group P4/mmm (No. 123)
One atom of each set of equivalent atoms:
Sb: 0.0000 0.0000 0.0000
As: 0.0000 0.5000 0.0000
Br: 0.0000 0.0000 0.5000
N: 0.5000 0.5000 0.5000

***

[12]
# AsSe2BrN

An optimized crystal structure of AsSe2BrN (GGA-PBEsol, the Alexandria database).

The calculation puts the magnetic moment at 0.01 μB per cell. The calculation puts the uncorrected formation energy at 909 meV/atom.

Lattice parameters (Å, degrees): 5.1776 5.1776 3.6093 90.00 90.00 90.00
Space group P4/mmm (No. 123)
One atom of each set of equivalent atoms:
As: 0.0000 0.0000 0.0000
Se: 0.0000 0.5000 0.0000
Br: 0.5000 0.5000 0.5000
N: 0.0000 0.0000 0.5000

***

[13]
# AsSe2BrN

An optimized crystal structure of AsSe2BrN (GGA-PBEsol, the Alexandria database).

The calculation puts the magnetic moment at 0.00 μB per cell. The calculation puts the uncorrected formation energy at 937 meV/atom.

Lattice parameters (Å, degrees): 4.5121 4.5121 4.3192 90.00 90.00 90.00
Space group P4/mmm (No. 123)
One atom of each set of equivalent atoms:
As: 0.0000 0.0000 0.0000
Se: 0.0000 0.5000 0.5000
Br: 0.5000 0.5000 0.0000
N: 0.5000 0.5000 0.5000

***

[14]
# AsSe2BrN

An optimized crystal structure of AsSe2BrN (GGA-PBEsol, the Alexandria database).

The calculation puts the magnetic moment at 2.63 μB per cell. The calculation puts the uncorrected formation energy at 1365 meV/atom.

Lattice parameters (Å, degrees): 4.9597 4.9597 5.3024 90.00 90.00 90.00
Space group P4/mmm (No. 123)
One atom of each set of equivalent atoms:
As: 0.0000 0.0000 0.0000
Se: 0.0000 0.5000 0.0000
Br: 0.0000 0.0000 0.5000
N: 0.5000 0.5000 0.5000

***

[15]
# SiAsBr2N

An optimized crystal structure of SiAsBr2N (GGA-PBEsol, the Alexandria database).

The calculation puts the magnetic moment at 0.00 μB per cell. The calculation puts the uncorrected formation energy at 1003 meV/atom.

Lattice parameters (Å, degrees): 4.5214 4.5214 4.4398 90.00 90.00 90.00
Space group P4/mmm (No. 123)
One atom of each set of equivalent atoms:
Si: 0.0000 0.0000 0.0000
As: 0.5000 0.5000 0.0000
Br: 0.0000 0.5000 0.5000
N: 0.5000 0.5000 0.5000

***

[16]
# Te2AsBrN

An optimized crystal structure of Te2AsBrN (GGA-PBEsol, the Alexandria database).

The calculation puts the magnetic moment at 0.00 μB per cell. The calculation puts the uncorrected formation energy at 1403 meV/atom.

Lattice parameters (Å, degrees): 5.6223 5.6223 3.6729 90.00 90.00 90.00
Space group P4/mmm (No. 123)
One atom of each set of equivalent atoms:
Te: 0.0000 0.5000 0.0000
As: 0.0000 0.0000 0.5000
Br: 0.5000 0.5000 0.0000
N: 0.5000 0.5000 0.5000

***

[17]
# TlAs2BrN

An optimized crystal structure of TlAs2BrN (GGA-PBEsol, the Alexandria database).

The calculation puts the magnetic moment at 5.16 μB per cell. The calculation puts the uncorrected formation energy at 1816 meV/atom.

Lattice parameters (Å, degrees): 5.3690 5.3690 5.8089 90.00 90.00 90.00
Space group P4/mmm (No. 123)
One atom of each set of equivalent atoms:
Tl: 0.0000 0.0000 0.0000
As: 0.0000 0.5000 0.0000
Br: 0.0000 0.0000 0.5000
N: 0.5000 0.5000 0.5000

***

[18]
# As2WBrN

An optimized crystal structure of As2WBrN (GGA-PBEsol, the Alexandria database).

The calculation puts the magnetic moment at 2.76 μB per cell. The calculation puts the uncorrected formation energy at 1410 meV/atom.

Lattice parameters (Å, degrees): 4.7938 4.7938 5.2196 90.00 90.00 90.00
Space group P4/mmm (No. 123)
One atom of each set of equivalent atoms:
As: 0.0000 0.5000 0.0000
W: 0.0000 0.0000 0.0000
Br: 0.0000 0.0000 0.5000
N: 0.5000 0.5000 0.5000

***

[19]
# ZnAs2BrN

An optimized crystal structure of ZnAs2BrN (GGA-PBEsol, the Alexandria database).

The calculation puts the magnetic moment at 1.38 μB per cell. The calculation puts the uncorrected formation energy at 1537 meV/atom.

Lattice parameters (Å, degrees): 4.7866 4.7866 5.1604 90.00 90.00 90.00
Space group P4/mmm (No. 123)
One atom of each set of equivalent atoms:
Zn: 0.0000 0.0000 0.0000
As: 0.0000 0.5000 0.0000
Br: 0.0000 0.0000 0.5000
N: 0.5000 0.5000 0.5000

***

[20]
# NaAsBr2O

An optimized crystal structure of NaAsBr2O (GGA-PBEsol, the Alexandria database).

The calculation puts the magnetic moment at 4.04 μB per cell. The calculation puts the uncorrected formation energy at 921 meV/atom.

Lattice parameters (Å, degrees): 5.2670 5.2670 5.4575 90.00 90.00 90.00
Space group P4/mmm (No. 123)
One atom of each set of equivalent atoms:
Na: 0.0000 0.0000 0.0000
As: 0.0000 0.0000 0.5000
Br: 0.0000 0.5000 0.0000
O: 0.5000 0.5000 0.5000

***

[21]
# NaAs4BrO6

An optimized crystal structure of NaAs4BrO6 (GGA-PBEsol, the Alexandria database).

The calculation puts the magnetic moment at 0.00 μB per cell. The calculation puts the uncorrected formation energy at -1267 meV/atom.

Lattice parameters (Å, degrees): 18.8114 5.2637 8.0436 90.00 90.00 90.00
Space group Pnma (No. 62)
One atom of each set of equivalent atoms:
Na: 0.0575 0.2500 0.1070
As: 0.0501 0.2500 0.6570
As: 0.1176 0.7500 0.8429
As: 0.1695 0.7500 0.2193
As: 0.1833 0.2500 0.4159
Br: 0.2199 0.2500 0.0165
O: 0.0497 0.5020 0.8119
O: 0.0973 0.7500 0.0626
O: 0.1238 0.0025 0.3343
O: 0.1447 0.2500 0.6226

***

[22]
# NaAs2OsBr

An optimized crystal structure of NaAs2OsBr (GGA-PBEsol, the Alexandria database).

The calculation puts the magnetic moment at 2.63 μB per cell. The calculation puts the uncorrected formation energy at 1883 meV/atom.

Lattice parameters (Å, degrees): 4.9095 4.9095 4.7985 90.00 90.00 90.00
Space group P4/mmm (No. 123)
One atom of each set of equivalent atoms:
Na: 0.0000 0.0000 0.0000
As: 0.0000 0.5000 0.0000
Os: 0.5000 0.5000 0.5000
Br: 0.0000 0.0000 0.5000

***

[23]
# NaAsOsBr2

An optimized crystal structure of NaAsOsBr2 (GGA-PBEsol, the Alexandria database).

The calculation puts the magnetic moment at 4.70 μB per cell. The calculation puts the uncorrected formation energy at 1533 meV/atom.

Lattice parameters (Å, degrees): 4.9130 4.9130 5.3867 90.00 90.00 90.00
Space group P4/mmm (No. 123)
One atom of each set of equivalent atoms:
Na: 0.0000 0.0000 0.0000
As: 0.0000 0.0000 0.5000
Os: 0.5000 0.5000 0.5000
Br: 0.0000 0.5000 0.0000

***

[24]
# NaAsPbBr2

An optimized crystal structure of NaAsPbBr2 (GGA-PBEsol, the Alexandria database).

The calculation puts the magnetic moment at 1.38 μB per cell. The calculation puts the uncorrected formation energy at -243 meV/atom.

Lattice parameters (Å, degrees): 5.8434 5.8434 5.4522 90.00 90.00 90.00
Space group P4/mmm (No. 123)
One atom of each set of equivalent atoms:
Na: 0.0000 0.0000 0.0000
As: 0.5000 0.5000 0.0000
Pb: 0.5000 0.5000 0.5000
Br: 0.0000 0.5000 0.5000

***

[25]
# RbNaAsBr2

An optimized crystal structure of RbNaAsBr2 (GGA-PBEsol, the Alexandria database).

The calculation puts the magnetic moment at 2.99 μB per cell. The calculation puts the uncorrected formation energy at -515 meV/atom.

Lattice parameters (Å, degrees): 5.6151 5.6151 5.5500 90.00 90.00 90.00
Space group P4/mmm (No. 123)
One atom of each set of equivalent atoms:
Rb: 0.0000 0.0000 0.0000
Na: 0.5000 0.5000 0.5000
As: 0.5000 0.5000 0.0000
Br: 0.0000 0.5000 0.5000

***

[26]
# NaSbAsBr2

An optimized crystal structure of NaSbAsBr2 (GGA-PBEsol, the Alexandria database).

The calculation puts the magnetic moment at 0.99 μB per cell. The calculation puts the uncorrected formation energy at 293 meV/atom.

Lattice parameters (Å, degrees): 4.9896 4.9896 5.5629 90.00 90.00 90.00
Space group P4/mmm (No. 123)
One atom of each set of equivalent atoms:
Na: 0.0000 0.0000 0.0000
Sb: 0.5000 0.5000 0.5000
As: 0.0000 0.0000 0.5000
Br: 0.0000 0.5000 0.0000

***

The calculation returns the following calculated volume values, one per record and in order: 31.00, 23.38, 23.58, 33.52, 31.66, 15.97, 25.53, 16.65, 26.29, 24.11, 31.96, 19.35, 17.59, 26.09, 18.15, 23.22, 33.49, 23.99, 23.65, 30.28, 16.59, 23.13, 26.00, 37.23, 35.00, 27.70 Å³/atom.